# Ag3SbTe4

Crystalline Ag3SbTe4 at its relaxed geometry (PBE, Alexandria via LeMat-Bulk).

It has space group Pmn2_1 (No. 31), with a = 9.1318 Å, b = 7.9074 Å, c = 7.5318 Å, α = 90.00°, β = 90.00° and γ = 90.00°. The distinct sites, in fractional coordinates, are Ag at (0.0000, 0.1551, 0.0000), Ag at (0.2443, 0.3233, 0.4795), Sb at (0.0000, 0.8323, 0.4886), Te at (0.0000, 0.1626, 0.6231), Te at (0.0000, 0.8190, 0.1144) and Te at (0.2490, 0.3413, 0.1089).

The calculation puts the magnetization at 0.00 μB/f.u. The density of states at the Fermi level is 2.69 states/eV per cell. Its offset from the most stable computed form is 14.6 meV per atom. As for the electronic total energy: -0.2342 Ry/atom. The calculation puts the formation energy without anion corrections at -0.0312 eV per atom. As for the crystal system: orthorhombic.